DFT (PBE) results for NbCuTc2 after structural relaxation.

Cell lengths 5.5990, 5.5990, 5.5990 Å; angles 102.71, 102.71, 124.05 degrees
With the nearest neighbours (Å) after each atom.
Fractional positions:
Nb: 0.0000 0.0000 0.0000  4 Tc 2.60, 2 Cu 2.63
Nb: 0.7500 0.2500 0.5000  4 Tc 2.60, 2 Cu 2.63
Cu: 0.2500 0.7500 0.5000  4 Tc 2.52, 2 Nb 2.63
Cu: 0.5000 0.5000 0.0000  4 Tc 2.52, 2 Nb 2.63
Tc: 0.1340 0.1250 0.5090  2 Cu 2.52, 2 Nb 2.60, 2 Tc 2.63
Tc: 0.3750 0.8660 0.9910  2 Cu 2.52, 2 Nb 2.60, 2 Tc 2.63
Tc: 0.6160 0.6250 0.4910  2 Cu 2.52, 2 Nb 2.60, 2 Tc 2.63
Tc: 0.8750 0.3840 0.0090  2 Cu 2.52, 2 Nb 2.60, 2 Tc 2.63

Output
* magnetization: 0.0 μB per formula unit
* uncorrected energy: -32.2 eV/f.u.
* SG: I-42d, No. 122
* distance to the lowest polymorph of the same formula: 0.6658 eV per atom
* calculated formation energy: 683 meV/atom